Entry 1:
The following is a DFT calculation (GGA-PBE) of LaNd3Sm2 after structural relaxation.

Cell lengths 10.5906, 10.5906, 10.5906 Å; angles 160.82, 146.72, 38.70 degrees
Sites, in units of the cell vectors:
1 La 0.0000 0.0000 0.0000
2 Nd 0.1916 0.1916 0.0000
3 Nd 0.5000 0.0000 0.5000
4 Nd 0.8084 0.8084 0.0000
5 Sm 0.3616 0.3616 0.0000
6 Sm 0.6384 0.6384 0.0000

Properties
Its formation energy is 289 meV/atom. The value obtained for the total energy is -0.1650 Ha/atom. The total magnetization comes out at 0.0 μB per formula unit. As for the crystal system: orthorhombic. The calculation puts the density at 6.77 g/cm3. Its density of states at the Fermi level is 10.64 states/eV per cell. The space-group type is Immm, No. 71.



Entry 2:
The following is a DFT calculation (GGA-PBE) of Pr2Nd6Sm3Tl after structural relaxation.

Cell lengths 6.2875, 6.2875, 12.0514 Å; angles 95.05, 95.05, 120.11 degrees
Sites, in units of the cell vectors:
1 Pr 0.1663 0.8337 0.0000
2 Pr 0.8337 0.1663 0.0000
3 Nd 0.0919 0.4174 0.7510
4 Nd 0.2579 0.2579 0.2503
5 Nd 0.4174 0.0919 0.7510
6 Nd 0.5826 0.9081 0.2490
7 Nd 0.7421 0.7421 0.7497
8 Nd 0.9081 0.5826 0.2490
9 Sm 0.0000 0.0000 0.5000
10 Sm 0.3320 0.6680 0.5000
11 Sm 0.6680 0.3320 0.5000
12 Tl 0.5000 0.5000 0.0000

Properties
Its formation energy is -30 meV/atom. The value obtained for the total energy is -0.1686 Ha/atom. The total magnetization comes out at 0.0 μB per formula unit. As for the crystal system: monoclinic. The calculation puts the density at 7.38 g/cm3. Its density of states at the Fermi level is 15.42 states/eV per cell. The space-group type is C2/m, No. 12.



Entry 3:
The following is a DFT calculation (GGA-PBE) of InSn2BiS5 after structural relaxation.

Cell lengths 9.3408, 9.3408, 13.1584 Å; angles 90.00, 90.00, 155.43 degrees
Sites, in units of the cell vectors:
1 In 0.0391 0.9609 0.5000
2 In 0.9609 0.0391 0.0000
3 Sn 0.3565 0.6435 0.7350
4 Sn 0.3641 0.6359 0.3917
5 Sn 0.6359 0.3641 0.8917
6 Sn 0.6435 0.3565 0.2350
7 Bi 0.3047 0.6953 0.0942
8 Bi 0.6953 0.3047 0.5942
9 S 0.0378 0.9622 0.8485
10 S 0.1535 0.8465 0.0946
11 S 0.1742 0.8258 0.4455
12 S 0.2087 0.7913 0.7500
13 S 0.4659 0.5341 0.1153
14 S 0.5341 0.4659 0.6153
15 S 0.7913 0.2087 0.2500
16 S 0.8258 0.1742 0.9455
17 S 0.8465 0.1535 0.5946
18 S 0.9622 0.0378 0.3485

Properties
For the formation energy (no corrections), the calculation gives -414 meV per atom. The value obtained for the total energy is -0.1592 Ha/atom. The total magnetization comes out at 0.0 μB per formula unit. As for the crystal system: orthorhombic. The calculation puts the density at 5.02 g/cm3. The space-group type is Cmc2_1, No. 36.



Entry 4:
The following is a DFT calculation (GGA-PBE) of Li3SbPt after structural relaxation.

Cell lengths 4.6591, 4.6591, 4.6591 Å; angles 90.00, 90.00, 90.00 degrees
Sites, in units of the cell vectors:
1 Li 0.0000 0.0000 0.5000
2 Li 0.0000 0.5000 0.0000
3 Li 0.5000 0.0000 0.0000
4 Sb 0.5000 0.5000 0.5000
5 Pt 0.0000 0.0000 0.0000

Properties
For the formation energy (no corrections), the calculation gives -109 meV per atom. The value obtained for the total energy is -0.1209 Ha/atom. The total magnetization comes out at 0.0 μB per formula unit. As for the crystal system: cubic. The calculation puts the density at 5.54 g/cm3. Its density of states at the Fermi level is 2.97 states/eV per cell. The space-group type is Pm-3m, No. 221.



Entry 5:
The following is a DFT calculation (GGA-PBE) of OsS2ICl after structural relaxation.

Cell lengths 4.6437, 4.6437, 4.9255 Å; angles 90.00, 90.00, 90.00 degrees
Sites, in units of the cell vectors:
1 Os 0.0000 0.0000 0.0000
2 S 0.0000 0.5000 0.0000
3 S 0.5000 0.0000 0.0000
4 I 0.5000 0.5000 0.5000
5 Cl 0.0000 0.0000 0.5000

Properties
For the formation energy (no corrections), the calculation gives 400 meV per atom. The value obtained for the total energy is -0.1535 Ha/atom. The total magnetization comes out at 0.0 μB per formula unit. As for the crystal system: tetragonal. The calculation puts the density at 6.51 g/cm3. Its density of states at the Fermi level is 4.28 states/eV per cell. The space-group type is P4/mmm, No. 123.



Entry 6:
The following is a DFT calculation (GGA-PBE) of AsPRhSe2 after structural relaxation.

Cell lengths 4.7367, 4.7367, 4.6240 Å; angles 90.00, 90.00, 90.00 degrees
Sites, in units of the cell vectors:
1 As 0.0000 0.0000 0.0000
2 P 0.0000 0.0000 0.5000
3 Rh 0.5000 0.5000 0.0000
4 Se 0.0000 0.5000 0.5000
5 Se 0.5000 0.0000 0.5000

Properties
For the formation energy (no corrections), the calculation gives 884 meV per atom. The value obtained for the total energy is -0.1467 Ha/atom. The total magnetization comes out at 0.7 μB per formula unit. As for the crystal system: tetragonal. The calculation puts the density at 5.87 g/cm3. Its density of states at the Fermi level is 4.82 states/eV per cell. The space-group type is P4/mmm, No. 123.



Entry 7:
The following is a DFT calculation (GGA-PBE) of Co2ReAu after structural relaxation.

Cell lengths 2.7125, 4.4807, 4.6962 Å; angles 90.00, 90.00, 90.00 degrees
Sites, in units of the cell vectors:
1 Co 0.0000 0.0000 0.0000
2 Co 0.5000 0.0000 0.5000
3 Re 0.0000 0.5000 0.5000
4 Au 0.5000 0.5000 0.0000

Properties
Its formation energy is 572 meV/atom. The value obtained for the total energy is -0.2540 Ha/atom. The total magnetization comes out at 3.9 μB per formula unit. As for the crystal system: orthorhombic. The calculation puts the density at 14.58 g/cm3. Its density of states at the Fermi level is 6.72 states/eV per cell. The space-group type is Pmmm, No. 47.



Entry 8:
The following is a DFT calculation (GGA-PBE) of Sr6ZnAu after structural relaxation.

Cell lengths 5.6398, 5.6398, 11.0559 Å; angles 104.71, 104.71, 90.09 degrees
Sites, in units of the cell vectors:
1 Sr 0.0898 0.5898 0.6795
2 Sr 0.2487 0.2487 0.9974
3 Sr 0.4102 0.9102 0.3205
4 Sr 0.5898 0.0898 0.6795
5 Sr 0.7513 0.7513 0.0026
6 Sr 0.9102 0.4102 0.3205
7 Zn 0.0000 0.0000 0.5000
8 Au 0.5000 0.5000 0.5000

Properties
Its formation energy is -232 meV/atom. The value obtained for the total energy is -0.0758 Ha/atom. The total magnetization comes out at 0.0 μB per formula unit. As for the crystal system: monoclinic. The calculation puts the density at 3.99 g/cm3. Its density of states at the Fermi level is 7.72 states/eV per cell. The space-group type is C2/m, No. 12.



Entry 9:
The following is a DFT calculation (GGA-PBE) of Ho6TeC3S2 after structural relaxation.

Cell lengths 8.7053, 8.7053, 7.8430 Å; angles 106.59, 106.59, 24.83 degrees
Sites, in units of the cell vectors:
1 Ho 0.0116 0.0116 0.2138
2 Ho 0.3187 0.3187 0.4362
3 Ho 0.3397 0.3397 0.8964
4 Ho 0.6603 0.6603 0.1036
5 Ho 0.6813 0.6813 0.5638
6 Ho 0.9884 0.9884 0.7862
7 Te 0.5000 0.5000 0.5000
8 C 0.1684 0.1684 0.3290
9 C 0.5000 0.5000 0.0000
10 C 0.8316 0.8316 0.6710
11 S 0.1672 0.1672 0.8336
12 S 0.8328 0.8328 0.1664

Properties
For the formation energy (no corrections), the calculation gives -1118 meV per atom. The value obtained for the total energy is -0.2448 Ha/atom. The total magnetization comes out at 0.0 μB per formula unit. As for the crystal system: monoclinic. The calculation puts the density at 8.47 g/cm3. Its density of states at the Fermi level is 0.71 states/eV per cell. The space-group type is C2/m, No. 12.



Entry 10:
The following is a DFT calculation (GGA-PBE) of Y3As4Pd7 after structural relaxation.

Cell lengths 8.1387, 8.1387, 9.6216 Å; angles 124.45, 124.45, 29.45 degrees
Sites, in units of the cell vectors:
1 Y 0.0000 0.0000 0.0000
2 Y 0.3211 0.3211 0.3259
3 Y 0.6789 0.6789 0.6741
4 As 0.1062 0.1062 0.8229
5 As 0.3406 0.3406 0.7470
6 As 0.6594 0.6594 0.2530
7 As 0.8938 0.8938 0.1771
8 Pd 0.0000 0.0000 0.5000
9 Pd 0.1658 0.1658 0.4260
10 Pd 0.3062 0.3062 0.9741
11 Pd 0.4879 0.4879 0.7067
12 Pd 0.5121 0.5121 0.2933
13 Pd 0.6938 0.6938 0.0259
14 Pd 0.8342 0.8342 0.5740

Properties
Its formation energy is -920 meV/atom. The value obtained for the total energy is -0.2289 Ha/atom. The total magnetization comes out at 0.0 μB per formula unit. As for the crystal system: monoclinic. The calculation puts the density at 8.57 g/cm3. Its density of states at the Fermi level is 7.70 states/eV per cell. The space-group type is C2/m, No. 12.



Entry 11:
The following is a DFT calculation (GGA-PBE) of ErNp5S6 after structural relaxation.

Cell lengths 6.7335, 6.7335, 6.7451 Å; angles 99.60, 99.60, 119.91 degrees
Sites, in units of the cell vectors:
1 Er 0.0000 0.0000 0.0000
2 Np 0.1666 0.8334 0.5000
3 Np 0.3334 0.6666 0.0000
4 Np 0.5000 0.5000 0.5000
5 Np 0.6666 0.3334 0.0000
6 Np 0.8334 0.1666 0.5000
7 S 0.0834 0.4144 0.2465
8 S 0.2493 0.2493 0.7511
9 S 0.4144 0.0834 0.2465
10 S 0.5856 0.9166 0.7535
11 S 0.7507 0.7507 0.2489
12 S 0.9166 0.5856 0.7535

Properties
For the formation energy (no corrections), the calculation gives -1453 meV per atom. The value obtained for the total energy is -0.3414 Ha/atom. The total magnetization comes out at 3.8 μB per formula unit. As for the crystal system: monoclinic. The calculation puts the density at 10.26 g/cm3. Its density of states at the Fermi level is 39.06 states/eV per cell. The space-group type is C2/m, No. 12.



Entry 12:
The following is a DFT calculation (GGA-PBE) of Zr2ScZn after structural relaxation.

Cell lengths 3.2387, 4.9407, 5.2735 Å; angles 90.00, 90.00, 90.00 degrees
Sites, in units of the cell vectors:
1 Zr 0.0000 0.0000 0.0000
2 Zr 0.5000 0.5000 0.0000
3 Sc 0.0000 0.5000 0.5000
4 Zn 0.5000 0.0000 0.5000

Properties
Its formation energy is -35 meV/atom. The value obtained for the total energy is -0.2282 Ha/atom. The total magnetization comes out at 0.0 μB per formula unit. As for the crystal system: orthorhombic. The calculation puts the density at 5.76 g/cm3. Its density of states at the Fermi level is 4.71 states/eV per cell. The space-group type is Pmmm, No. 47.



The highest total energy belongs to which entry? Sr6ZnAu



Which value of total energy does entry 1 give? -0.1650 Ha/atom



Which value of density does entry 3 give? 5.02 g/cm3



What did the third record say?
The following is a DFT calculation (GGA-PBE) of InSn2BiS5 after structural relaxation.

Cell lengths 9.3408, 9.3408, 13.1584 Å; angles 90.00, 90.00, 155.43 degrees
Sites, in units of the cell vectors:
1 In 0.0391 0.9609 0.5000
2 In 0.9609 0.0391 0.0000
3 Sn 0.3565 0.6435 0.7350
4 Sn 0.3641 0.6359 0.3917
5 Sn 0.6359 0.3641 0.8917
6 Sn 0.6435 0.3565 0.2350
7 Bi 0.3047 0.6953 0.0942
8 Bi 0.6953 0.3047 0.5942
9 S 0.0378 0.9622 0.8485
10 S 0.1535 0.8465 0.0946
11 S 0.1742 0.8258 0.4455
12 S 0.2087 0.7913 0.7500
13 S 0.4659 0.5341 0.1153
14 S 0.5341 0.4659 0.6153
15 S 0.7913 0.2087 0.2500
16 S 0.8258 0.1742 0.9455
17 S 0.8465 0.1535 0.5946
18 S 0.9622 0.0378 0.3485

Properties
For the formation energy (no corrections), the calculation gives -414 meV per atom. The value obtained for the total energy is -0.1592 Ha/atom. The total magnetization comes out at 0.0 μB per formula unit. As for the crystal system: orthorhombic. The calculation puts the density at 5.02 g/cm3. The space-group type is Cmc2_1, No. 36.